DFT (PBE-GGA) results for a relaxed Tl8CdSn2 crystal.

abc: 5.801 8.940 8.940
angles: 68.78 116.37 116.37
Positions (direct):
Tl (0.876, 0.598, 0.598)
Tl (0.253, 0.866, 0.866)
Tl (0.641, 0.177, 0.646)
Tl (0.359, 0.354, 0.823)
Tl (0.359, 0.823, 0.354)
Tl (0.747, 0.134, 0.134)
Tl (0.124, 0.402, 0.402)
Tl (0.641, 0.646, 0.177)
Cd (0.000, 0.000, 0.000)
Sn (0.408, 0.247, 0.247)
Sn (0.592, 0.753, 0.753)

Raw total energy ... -2.43 eV per atom
ΔH_f (0 K) ... 106 meV per atom
Crystal system ... monoclinic